Compound: FeBiTeN2
Source: Alexandria via LeMat-Bulk
Functional: PBE-GGA
Structure: relaxed

Lattice parameters (Å, degrees): 4.101 4.101 5.152 90.00 90.00 90.00
Fractional coordinates of all 5 atoms:
Fe  0.000  0.000  0.000
Bi  0.500  0.500  0.500
Te  0.000  0.000  0.500
N  0.000  0.500  0.000
N  0.500  0.000  0.000

Properties
Distance to the lowest polymorph of the same formula (eV per atom): 0.000
Formation energy from raw total energies (kJ/mol of atoms): 115
Space-group type: P4/mmm (123)
Final energy (eV per atom): -5.239
Volume (Å³/atom): 17.3


Compound: V2FeBiN
Source: Alexandria via LeMat-Bulk
Functional: PBE-GGA
Structure: relaxed

Lattice parameters (Å, degrees): 4.364 4.364 4.813 90.00 90.00 90.00
Fractional coordinates of all 5 atoms:
V  0.000  0.500  0.000
V  0.500  0.000  0.000
Fe  0.000  0.000  0.000
Bi  0.000  0.000  0.500
N  0.500  0.500  0.500

Properties
Formation energy from raw total energies (kJ/mol of atoms): 151
Space-group type: P4/mmm (123)
Final energy (eV per atom): -6.212
Volume (Å³/atom): 18.3


Compound: NaFe3Bi
Source: Alexandria via LeMat-Bulk
Functional: PBE-GGA
Structure: relaxed

Lattice parameters (Å, degrees): 5.019 5.019 5.019 90.00 90.00 90.00
Fractional coordinates of all 5 atoms:
Na  0.000  0.000  0.000
Fe  0.000  0.500  0.500
Fe  0.500  0.000  0.500
Fe  0.500  0.500  0.000
Bi  0.500  0.500  0.500

Properties
Distance to the lowest polymorph of the same formula (eV per atom): 0.000
Energy of formation from the pure elements (eV/atom): 1.32
Space-group type: Pm-3m (221)
Final energy (eV per atom): -4.797
Volume (Å³/atom): 25.3


Compound: Na2FeBi
Source: Alexandria via LeMat-Bulk
Functional: PBE-GGA
Structure: relaxed

Lattice parameters (Å, degrees): 11.505 11.505 5.008 90.00 90.00 90.00
Fractional coordinates of all 16 atoms:
Na  0.043  0.250  0.125
Na  0.250  0.543  0.375
Na  0.250  0.957  0.875
Na  0.457  0.250  0.625
Na  0.543  0.750  0.625
Na  0.750  0.043  0.875
Na  0.750  0.457  0.375
Na  0.957  0.750  0.125
Fe  0.000  0.000  0.000
Fe  0.000  0.500  0.250
Fe  0.500  0.000  0.750
Fe  0.500  0.500  0.500
Bi  0.000  0.000  0.500
Bi  0.000  0.500  0.750
Bi  0.500  0.000  0.250
Bi  0.500  0.500  0.000

Properties
Energy of formation from the pure elements (eV/atom): 0.44
Space-group type: I-42d (122)
Final energy (eV per atom): -3.310
Volume (Å³/atom): 41.4


Compound: Na2FeBi2
Source: Alexandria via LeMat-Bulk
Functional: PBE-GGA
Structure: relaxed

Lattice parameters (Å, degrees): 7.227 7.227 5.281 90.00 90.00 90.00
Fractional coordinates of all 10 atoms:
Na  0.165  0.335  0.000
Na  0.335  0.835  0.000
Na  0.665  0.165  0.000
Na  0.835  0.665  0.000
Fe  0.000  0.000  0.500
Fe  0.500  0.500  0.500
Bi  0.156  0.656  0.500
Bi  0.344  0.156  0.500
Bi  0.656  0.844  0.500
Bi  0.844  0.344  0.500

Properties
Energy of formation from the pure elements (eV/atom): 0.05
Space-group type: P4/mbm (127)
Final energy (eV per atom): -3.724
Volume (Å³/atom): 27.6


Compound: NaFeBi3
Source: Alexandria via LeMat-Bulk
Functional: PBE-GGA
Structure: relaxed

Lattice parameters (Å, degrees): 5.204 5.204 5.204 90.00 90.00 90.00
Fractional coordinates of all 5 atoms:
Na  0.000  0.000  0.000
Fe  0.500  0.500  0.500
Bi  0.000  0.500  0.500
Bi  0.500  0.000  0.500
Bi  0.500  0.500  0.000

Properties
Distance to the lowest polymorph of the same formula (eV per atom): 0.000
Energy of formation from the pure elements (eV/atom): 0.28
Space-group type: Pm-3m (221)
Final energy (eV per atom): -4.003
Volume (Å³/atom): 28.2


Compound: NaFeBi2
Source: Alexandria via LeMat-Bulk
Functional: PBE-GGA
Structure: relaxed

Lattice parameters (Å, degrees): 7.015 7.015 7.015 90.00 90.00 90.00
Fractional coordinates of all 16 atoms:
Na  0.000  0.000  0.000
Na  0.000  0.500  0.500
Na  0.500  0.000  0.500
Na  0.500  0.500  0.000
Fe  0.000  0.000  0.500
Fe  0.000  0.500  0.000
Fe  0.500  0.000  0.000
Fe  0.500  0.500  0.500
Bi  0.250  0.250  0.250
Bi  0.250  0.250  0.750
Bi  0.250  0.750  0.250
Bi  0.250  0.750  0.750
Bi  0.750  0.250  0.250
Bi  0.750  0.250  0.750
Bi  0.750  0.750  0.250
Bi  0.750  0.750  0.750

Properties
Energy of formation from the pure elements (eV/atom): 0.40
Space-group type: Fm-3m (225)
Final energy (eV per atom): -3.987
Volume (Å³/atom): 21.6


Compound: NaFeBi3
Source: Alexandria via LeMat-Bulk
Functional: PBE-GGA
Structure: relaxed

Lattice parameters (Å, degrees): 5.440 5.440 5.440 90.00 90.00 90.00
Fractional coordinates of all 5 atoms:
Na  0.000  0.000  0.000
Fe  0.500  0.500  0.500
Bi  0.000  0.000  0.500
Bi  0.000  0.500  0.000
Bi  0.500  0.000  0.000

Properties
Distance to the lowest polymorph of the same formula (eV per atom): 0.869
Energy of formation from the pure elements (eV/atom): 1.15
Space-group type: Pm-3m (221)
Final energy (eV per atom): -3.133
Volume (Å³/atom): 32.2